# 1
# YTcO2 PBEsol optimized geometry
data_YTcO2
_symmetry_space_group_name_H-M 'P 1'
_symmetry_Int_Tables_number 1
_symmetry_space_group_name_Hall 'P 1'
_cell_length_a 3.998
_cell_length_b 3.998
_cell_length_c 3.998
_cell_angle_alpha 60.00
_cell_angle_beta 60.00
_cell_angle_gamma 60.00
loop_
_atom_site_label
_atom_site_type_symbol
_atom_site_fract_x
_atom_site_fract_y
_atom_site_fract_z
Y1 Y 0.000 0.000 0.000
Tc1 Tc 0.500 0.500 0.500
O1 O 0.250 0.250 0.250
O2 O 0.750 0.750 0.750
# Total magnetization: 0.001 μB per atom
# ΔE_f (raw): -1.303 eV per atom
# Fermi-level density of states: 0.643 states/eV per atom

---

# 2
# CdCo2Si PBEsol optimized geometry
data_CdCo2Si
_symmetry_space_group_name_H-M 'P 1'
_symmetry_Int_Tables_number 1
_symmetry_space_group_name_Hall 'P 1'
_cell_length_a 2.695
_cell_length_b 3.299
_cell_length_c 5.987
_cell_angle_alpha 90.00
_cell_angle_beta 90.00
_cell_angle_gamma 90.00
loop_
_atom_site_label
_atom_site_type_symbol
_atom_site_fract_x
_atom_site_fract_y
_atom_site_fract_z
Cd1 Cd 0.000 0.000 0.000
Co1 Co 0.000 0.000 0.499
Co2 Co 0.500 0.500 0.273
Si1 Si 0.500 0.500 0.655
# Total magnetization: 0.492 μB per atom
# Distance to the lowest polymorph of the same formula: 55 kJ/mol of formula units
# ΔE_f (raw): 0.096 eV per atom
# Fermi-level density of states: 1.104 states/eV per atom

---

# 3
# LaZrPt PBEsol optimized geometry
data_LaZrPt
_symmetry_space_group_name_H-M 'P 1'
_symmetry_Int_Tables_number 1
_symmetry_space_group_name_Hall 'P 1'
_cell_length_a 4.792
_cell_length_b 4.792
_cell_length_c 4.792
_cell_angle_alpha 60.00
_cell_angle_beta 60.00
_cell_angle_gamma 60.00
loop_
_atom_site_label
_atom_site_type_symbol
_atom_site_fract_x
_atom_site_fract_y
_atom_site_fract_z
La1 La 0.000 0.000 0.000
Zr1 Zr 0.500 0.500 0.500
Pt1 Pt 0.250 0.250 0.250
# Total magnetization: 0.000 μB per atom
# Distance to the lowest polymorph of the same formula: 68 kJ/mol of formula units
# Fermi-level density of states: 1.266 states/eV per atom

---

# 4
# YSc2Se PBEsol optimized geometry
data_YSc2Se
_symmetry_space_group_name_H-M 'P 1'
_symmetry_Int_Tables_number 1
_symmetry_space_group_name_Hall 'P 1'
_cell_length_a 9.074
_cell_length_b 9.074
_cell_length_c 9.074
_cell_angle_alpha 22.76
_cell_angle_beta 22.76
_cell_angle_gamma 22.76
loop_
_atom_site_label
_atom_site_type_symbol
_atom_site_fract_x
_atom_site_fract_y
_atom_site_fract_z
Y1 Y 0.000 0.000 0.000
Sc1 Sc 0.231 0.231 0.231
Sc2 Sc 0.469 0.469 0.469
Se1 Se 0.739 0.739 0.739
# Total magnetization: 0.086 μB per atom
# ΔE_f (raw): -0.751 eV per atom
# Fermi-level density of states: 1.151 states/eV per atom

---

The highest Fermi-level density of states belongs to which entry? LaZrPt